CaNi2O5: optimized geometry, PBE with a Hubbard U.

Results
The density of states at the Fermi level is 5.2 states/eV/cell. Its crystal system is orthorhombic. Its calculated volume is 15.9 A^3/atom. The total energy is -5.12 eV/atom.

abc: 6.343 6.343 10.747
angles: 90.00 90.00 144.08
Element x y z (fractional)
Ca (0.084, 0.916, 0.750)
Ca (0.916, 0.084, 0.250)
Ni (0.255, 0.745, 0.098)
Ni (0.255, 0.745, 0.402)
Ni (0.745, 0.255, 0.598)
Ni (0.745, 0.255, 0.902)
O (0.105, 0.895, 0.186)
O (0.105, 0.895, 0.314)
O (0.210, 0.790, 0.573)
O (0.210, 0.790, 0.927)
O (0.338, 0.662, 0.250)
O (0.662, 0.338, 0.750)
O (0.790, 0.210, 0.073)
O (0.790, 0.210, 0.427)
O (0.895, 0.105, 0.686)
O (0.895, 0.105, 0.814)